Material: AlCrP2O
Method: DFT, PBE+U
State: relaxed

Summary:
The value obtained for the excess energy over the best structure of this formula in the dataset is 0.0 meV per atom.

The structure in POSCAR format:
```
AlCrP2O
1.0
-3.427 1.787 3.170
2.452 -2.084 3.826
1.796 2.791 0.369
Al Cr P O
1 1 2 1
Direct
0.000 0.000 0.000
0.500 0.500 0.500
0.500 0.000 0.000
0.000 0.500 0.000
0.000 0.000 0.500
```